# VCoICl2, optimized geometry, DFT PBE-GGA
data_VCoICl2
_chemical_formula_sum 'V1 Co1 I1 Cl2'
_cell_length_a 4.530
_cell_length_b 4.530
_cell_length_c 5.443
_cell_angle_alpha 90.00
_cell_angle_beta 90.00
_cell_angle_gamma 90.00
_symmetry_space_group_name_H-M 'P 4/m m m'
_symmetry_Int_Tables_number 123
_symmetry_space_group_name_Hall '-P 4 2'
loop_
_atom_site_label
_atom_site_fract_x
_atom_site_fract_y
_atom_site_fract_z
V1 0.000 0.000 0.000
Co1 0.500 0.500 0.500
I1 0.500 0.500 0.000
Cl1 0.000 0.500 0.500
# Raw formation energy in eV/atom: 0.198

# Ti4AlRu, optimized geometry, DFT PBE-GGA
data_Ti4AlRu
_chemical_formula_sum 'Ti8 Al2 Ru2'
_cell_length_a 9.493
_cell_length_b 4.421
_cell_length_c 5.573
_cell_angle_alpha 90.00
_cell_angle_beta 124.91
_cell_angle_gamma 90.00
_symmetry_space_group_name_H-M 'C 1 2/m 1'
_symmetry_Int_Tables_number 12
_symmetry_space_group_name_Hall '-C 2y'
loop_
_atom_site_label
_atom_site_fract_x
_atom_site_fract_y
_atom_site_fract_z
Ti1 0.149 0.000 0.311
Ti2 0.198 0.000 0.847
Al1 0.000 0.500 0.500
Ru1 0.000 0.500 0.000
# DFT formation energy in meV/atom: -327
# Energy above the most stable polymorph in this dataset in kJ/mol of atoms: 0.00

# V2NiAg2Se6, optimized geometry, DFT PBE-GGA
data_V2NiAg2Se6
_chemical_formula_sum 'V4 Ni2 Ag4 Se12'
_cell_length_a 6.315
_cell_length_b 10.708
_cell_length_c 7.687
_cell_angle_alpha 90.00
_cell_angle_beta 100.47
_cell_angle_gamma 90.00
_symmetry_space_group_name_H-M 'C 1 2/m 1'
_symmetry_Int_Tables_number 12
_symmetry_space_group_name_Hall '-C 2y'
loop_
_atom_site_label
_atom_site_fract_x
_atom_site_fract_y
_atom_site_fract_z
V1 0.000 0.141 0.000
Ni1 0.000 0.500 0.000
Ag1 0.000 0.356 0.500
Se1 0.117 0.333 0.829
Se2 0.130 0.000 0.795
# Raw formation energy in eV/atom: -0.375

| no. | calculated total energy (eV per atom) | density of states at the Fermi level (states/eV per cell) |
| --- | --- | --- |
| 1 | -4.096 | 5.68 |
| 2 | -7.760 | 14.19 |
| 3 | -4.977 | 10.15 |